(1)
This record from the Alexandria database describes an optimized crystal structure of CeNpPtAu. The functional is GGA-PBE.

Results
- magnetization (μB per formula unit) = 5.26
- DFT formation energy (kcal/mol of atoms) = -10.830

Lattice parameters (Å, degrees): 7.1827 7.1827 7.1827 90.00 90.00 90.00
Space group F-43m (No. 216)
Asymmetric unit:
1 Ce 0.0000 0.0000 0.0000 [4 per cell]
2 Np 0.0000 0.0000 0.5000 [4 per cell]
3 Pt 0.2500 0.2500 0.2500 [4 per cell]
4 Au 0.2500 0.2500 0.7500 [4 per cell]

(2)
This record from the Alexandria database describes an optimized crystal structure of CeNpSbAu. The functional is GGA-PBE.

Results
- magnetization (μB per formula unit) = 6.94
- formation energy without anion corrections (meV per atom) = -384

Lattice parameters (Å, degrees): 7.4967 7.4967 7.4967 90.00 90.00 90.00
Space group F-43m (No. 216)
Asymmetric unit:
1 Ce 0.0000 0.0000 0.0000 [4 per cell]
2 Np 0.0000 0.0000 0.5000 [4 per cell]
3 Sb 0.2500 0.2500 0.7500 [4 per cell]
4 Au 0.2500 0.2500 0.2500 [4 per cell]

(3)
This record from the Alexandria database describes an optimized crystal structure of CeNpSnAu. The functional is GGA-PBE.

Results
- magnetization (μB per formula unit) = 7.03
- DFT formation energy (kcal/mol of atoms) = -0.484

Lattice parameters (Å, degrees): 7.3136 7.3136 7.3136 90.00 90.00 90.00
Space group F-43m (No. 216)
Asymmetric unit:
1 Ce 0.0000 0.0000 0.0000 [4 per cell]
2 Np 0.2500 0.2500 0.2500 [4 per cell]
3 Sn 0.0000 0.0000 0.5000 [4 per cell]
4 Au 0.2500 0.2500 0.7500 [4 per cell]

(4)
This record from the Alexandria database describes an optimized crystal structure of Ce4Au2O. The functional is GGA-PBE.

Results
- magnetization (μB per formula unit) = 4.18
- formation energy without anion corrections (meV per atom) = -1070

Lattice parameters (Å, degrees): 4.8126 4.8126 15.1570 90.00 90.00 90.00
Space group I4/mmm (No. 139)
Asymmetric unit:
1 Ce 0.0000 0.0000 0.1762 [4 per cell]
2 Ce 0.0000 0.5000 0.0000 [4 per cell]
3 Au 0.0000 0.0000 0.3658 [4 per cell]
4 O 0.0000 0.0000 0.0000 [2 per cell]

(5)
This record from the Alexandria database describes an optimized crystal structure of Ce2P2AuO. The functional is GGA-PBE.

Results
- magnetization (μB per formula unit) = 1.75
- formation energy without anion corrections (meV per atom) = -1651

Lattice parameters (Å, degrees): 15.1400 4.1902 9.8377 90.00 130.22 90.00
Space group C2/m (No. 12)
Asymmetric unit:
1 Ce 0.1317 0.0000 0.3127 [4 per cell]
2 Ce 0.1699 0.0000 0.7302 [4 per cell]
3 P 0.0485 0.5000 0.4514 [4 per cell]
4 P 0.1522 0.0000 0.0374 [4 per cell]
5 Au 0.0849 0.5000 0.8779 [4 per cell]
6 O 0.2265 0.5000 0.3742 [4 per cell]

(6)
This record from the Alexandria database describes an optimized crystal structure of Ce2AuSe2O2. The functional is GGA-PBE.

Results
- magnetization (μB per formula unit) = 0.54
- formation energy without anion corrections (meV per atom) = -1795

Lattice parameters (Å, degrees): 3.9033 3.9033 11.3871 90.00 90.00 120.00
Space group P-3m1 (No. 164)
Asymmetric unit:
1 Ce 0.3333 0.6667 0.2810 [2 per cell]
2 Au 0.0000 0.0000 0.5000 [1 per cell]
3 Se 0.0000 0.0000 0.1083 [2 per cell]
4 O 0.3333 0.6667 0.6939 [2 per cell]

(7)
This record from the Alexandria database describes an optimized crystal structure of CeSnAuO. The functional is GGA-PBE.

Results
- magnetization (μB per formula unit) = 0.83
- formation energy without anion corrections (meV per atom) = -1327

Lattice parameters (Å, degrees): 3.2547 3.2547 16.9157 90.00 90.00 90.00
Space group I4mm (No. 107)
Asymmetric unit:
1 Ce 0.0000 0.0000 0.0000 [2 per cell]
2 Sn 0.0000 0.0000 0.7411 [2 per cell]
3 Au 0.0000 0.0000 0.3556 [2 per cell]
4 O 0.0000 0.0000 0.5363 [2 per cell]

(8)
This record from the Alexandria database describes an optimized crystal structure of Ce7Os2Au2. The functional is GGA-PBE.

Results
- magnetization (μB per formula unit) = 4.00
- relative energy among the computed polymorphs (eV/atom) = 0.000
- DFT formation energy (kcal/mol of atoms) = -6.736

Lattice parameters (Å, degrees): 3.8516 14.9044 9.9597 90.00 90.00 90.00
Space group Imm2 (No. 44)
Asymmetric unit:
1 Ce 0.0000 0.0000 0.0000 [2 per cell]
2 Ce 0.0000 0.1317 0.5935 [4 per cell]
3 Ce 0.0000 0.3063 0.3646 [4 per cell]
4 Ce 0.0000 0.3622 0.7343 [4 per cell]
5 Os 0.0000 0.2153 0.0628 [4 per cell]
6 Au 0.0000 0.0000 0.3539 [2 per cell]
7 Au 0.0000 0.5000 0.2500 [2 per cell]

(9)
This record from the Alexandria database describes an optimized crystal structure of Ce2OsAu. The functional is GGA-PBE.

Results
- magnetization (μB per formula unit) = 1.16
- DFT formation energy (kcal/mol of atoms) = -8.614

Lattice parameters (Å, degrees): 3.3613 3.3613 7.9953 90.00 90.00 90.00
Space group P4/mmm (No. 123)
Asymmetric unit:
1 Ce 0.0000 0.0000 0.2251 [2 per cell]
2 Os 0.5000 0.5000 0.0000 [1 per cell]
3 Au 0.5000 0.5000 0.5000 [1 per cell]

(10)
This record from the Alexandria database describes an optimized crystal structure of Ce12Os6Au. The functional is GGA-PBE.

Results
- magnetization (μB per formula unit) = 5.90
- DFT formation energy (kcal/mol of atoms) = 0.058

Lattice parameters (Å, degrees): 13.9815 13.9815 8.4465 90.00 90.00 120.00
Space group R-3m (No. 166, hexagonal axes)
Asymmetric unit:
1 Ce 0.0000 0.3834 0.0000 [18 per cell]
2 Ce 0.0869 0.1738 0.7972 [18 per cell]
3 Os 0.0694 0.5347 0.7496 [18 per cell]
4 Au 0.0000 0.0000 0.5000 [3 per cell]

(11)
This record from the Alexandria database describes an optimized crystal structure of Ce6OsAu3. The functional is GGA-PBE.

Results
- magnetization (μB per formula unit) = 4.02
- DFT formation energy (kcal/mol of atoms) = -8.211

Lattice parameters (Å, degrees): 5.3934 8.2399 12.5419 90.00 111.45 90.00
Space group P2_1/c (No. 14)
Asymmetric unit:
1 Ce 0.0227 0.1892 0.0705 [4 per cell]
2 Ce 0.3302 0.5163 0.2394 [4 per cell]
3 Ce 0.3843 0.1199 0.4049 [4 per cell]
4 Os 0.0000 0.0000 0.5000 [2 per cell]
5 Au 0.1208 0.6418 0.7057 [4 per cell]
6 Au 0.5000 0.0000 0.0000 [2 per cell]

(12)
This record from the Alexandria database describes an optimized crystal structure of Ce8Os5Au. The functional is GGA-PBE.

Results
- magnetization (μB per formula unit) = 0.00
- DFT formation energy (kcal/mol of atoms) = -5.371

Lattice parameters (Å, degrees): 8.7840 8.7840 8.5243 90.00 90.00 90.00
Space group I-4 (No. 82)
Asymmetric unit:
1 Ce 0.0588 0.3258 0.0699 [8 per cell]
2 Ce 0.0642 0.1958 0.6773 [8 per cell]
3 Os 0.0000 0.5000 0.7500 [2 per cell]
4 Os 0.1395 0.2473 0.3663 [8 per cell]
5 Au 0.0000 0.0000 0.0000 [2 per cell]

Q: The highest magnetization belongs to which entry?
A: CeNpSnAu

Please write out number 11 again, unchanged.
This record from the Alexandria database describes an optimized crystal structure of Ce6OsAu3. The functional is GGA-PBE.

Results
- magnetization (μB per formula unit) = 4.02
- DFT formation energy (kcal/mol of atoms) = -8.211

Lattice parameters (Å, degrees): 5.3934 8.2399 12.5419 90.00 111.45 90.00
Space group P2_1/c (No. 14)
Asymmetric unit:
1 Ce 0.0227 0.1892 0.0705 [4 per cell]
2 Ce 0.3302 0.5163 0.2394 [4 per cell]
3 Ce 0.3843 0.1199 0.4049 [4 per cell]
4 Os 0.0000 0.0000 0.5000 [2 per cell]
5 Au 0.1208 0.6418 0.7057 [4 per cell]
6 Au 0.5000 0.0000 0.0000 [2 per cell]

Q: Which value of magnetization does entry 6 give?
A: 0.54 μB per formula unit

Q: What is the magnetization in the tenth record?
A: 5.90 μB per formula unit